# 1
Sr2Nd3Cd2 | Alexandria via LeMat-Bulk | PBE | relaxed; symmetry = Cmmm; crystal system = orthorhombic; total energy = -2.934 eV/atom; density of states at the Fermi level = 1.1089 states/eV per atom; size of the total moment = 0.0 μB/cell; formation energy = -100.1 kJ/mol of formula units
1.0
1.963 -16.521 0.000
1.963 16.521 0.000
0.000 0.000 3.855
Sr Nd Cd
2 3 2
Direct
0.193 0.807 0.000 Sr
0.807 0.193 0.000 Sr
0.073 0.927 0.000 Nd
0.500 0.500 0.500 Nd
0.927 0.073 0.000 Nd
0.371 0.629 0.500 Cd
0.629 0.371 0.500 Cd

# 2
LaTa2Rh | Alexandria via LeMat-Bulk | PBE | relaxed; symmetry = Imm2; crystal system = orthorhombic; total energy = -8.764 eV/atom; density of states at the Fermi level = 1.0753 states/eV per atom; size of the total moment = 0.0 μB/cell; formation energy = 89.4 kJ/mol of formula units
1.0
-1.567 2.632 4.903
1.567 -2.632 4.903
1.567 2.632 -4.903
La Ta Rh
1 2 1
Direct
0.000 0.000 0.000 La
0.279 0.779 0.500 Ta
0.527 0.527 0.000 Ta
0.741 0.241 0.500 Rh

# 3
LaNdDy2Bi4 | Alexandria via LeMat-Bulk | PBE | relaxed; symmetry = P2/m; crystal system = monoclinic; total energy = -5.231 eV/atom; density of states at the Fermi level = 0.1443 states/eV per atom; size of the total moment = 0.0 μB/cell; formation energy = -716.1 kJ/mol of formula units
1.0
7.900 0.000 0.000
0.000 4.576 0.000
-2.645 0.000 7.464
La Nd Dy Bi
1 1 2 4
Direct
0.000 0.000 0.000 La
0.000 0.500 0.500 Nd
0.500 0.000 0.500 Dy
0.500 0.500 0.000 Dy
0.260 0.000 0.752 Bi
0.261 0.500 0.256 Bi
0.739 0.500 0.744 Bi
0.740 0.000 0.248 Bi

# 4
CsTaHgO4 | Alexandria via LeMat-Bulk | PBE | relaxed; symmetry = P2_1/m; crystal system = monoclinic; total energy = -6.485 eV/atom; density of states at the Fermi level = 0.0000 states/eV per atom; size of the total moment = 0.0 μB/cell
1.0
6.068 0.000 0.000
0.000 6.737 0.000
-2.156 0.000 7.754
Cs Ta Hg O
2 2 2 8
Direct
0.205 0.250 0.442 Cs
0.795 0.750 0.558 Cs
0.241 0.750 0.167 Ta
0.759 0.250 0.833 Ta
0.366 0.250 0.008 Hg
0.634 0.750 0.992 Hg
0.006 0.250 0.032 O
0.149 0.750 0.365 O
0.447 0.534 0.175 O
0.447 0.966 0.175 O
0.553 0.034 0.825 O
0.553 0.466 0.825 O
0.851 0.250 0.635 O
0.994 0.750 0.968 O

# 5
CdAg2Sb2 | Alexandria via LeMat-Bulk | PBE | relaxed; symmetry = I4/mmm; crystal system = tetragonal; total energy = -2.737 eV/atom; density of states at the Fermi level = 0.5853 states/eV per atom; size of the total moment = 0.0 μB/cell
1.0
-2.156 2.156 6.892
2.156 -2.156 6.892
2.156 2.156 -6.892
Cd Ag Sb
1 2 2
Direct
0.000 0.000 0.000 Cd
0.402 0.402 0.000 Ag
0.598 0.598 0.000 Ag
0.250 0.750 0.500 Sb
0.750 0.250 0.500 Sb

# 6
La2Tb2Dy | Alexandria via LeMat-Bulk | PBE | relaxed; symmetry = C2/c; crystal system = monoclinic; total energy = -4.507 eV/atom; density of states at the Fermi level = 1.7051 states/eV per atom; size of the total moment = 0.0 μB/cell; formation energy = 114.2 kJ/mol of formula units
1.0
4.407 -4.858 0.000
4.407 4.858 0.000
-3.469 0.000 8.250
La Tb Dy
4 4 2
Direct
0.073 0.248 0.139 La
0.248 0.073 0.639 La
0.752 0.927 0.361 La
0.927 0.752 0.861 La
0.000 0.500 0.500 Tb
0.500 0.000 0.000 Tb
0.500 0.500 0.000 Tb
0.500 0.500 0.500 Tb
0.206 0.794 0.250 Dy
0.794 0.206 0.750 Dy

# 7
Cd3MoPd12 | Alexandria via LeMat-Bulk | PBE | relaxed; symmetry = P4/mmm; crystal system = tetragonal; total energy = -4.954 eV/atom; density of states at the Fermi level = 1.0177 states/eV per atom; size of the total moment = 0.0 μB/cell; formation energy = -324.8 kJ/mol of formula units
1.0
3.984 0.000 0.000
0.000 3.984 0.000
0.000 0.000 16.215
Cd Mo Pd
3 1 12
Direct
0.000 0.000 0.000 Cd
0.000 0.000 0.252 Cd
0.000 0.000 0.748 Cd
0.000 0.000 0.500 Mo
0.000 0.500 0.127 Pd
0.000 0.500 0.384 Pd
0.000 0.500 0.616 Pd
0.000 0.500 0.873 Pd
0.500 0.000 0.127 Pd
0.500 0.000 0.384 Pd
0.500 0.000 0.616 Pd
0.500 0.000 0.873 Pd
0.500 0.500 0.000 Pd
0.500 0.500 0.256 Pd
0.500 0.500 0.500 Pd
0.500 0.500 0.744 Pd

# 8
BaCa3Pd | Alexandria via LeMat-Bulk | PBE | relaxed; symmetry = Cmcm; crystal system = orthorhombic; total energy = -2.773 eV/atom; density of states at the Fermi level = 0.7874 states/eV per atom; size of the total moment = 0.0 μB/cell; formation energy = -72.0 kJ/mol of formula units
1.0
4.549 -6.355 0.000
4.549 6.355 0.000
0.000 0.000 6.913
Ba Ca Pd
2 6 2
Direct
0.075 0.925 0.750 Ba
0.925 0.075 0.250 Ba
0.024 0.592 0.250 Ca
0.408 0.976 0.250 Ca
0.500 0.500 0.000 Ca
0.500 0.500 0.500 Ca
0.592 0.024 0.750 Ca
0.976 0.408 0.750 Ca
0.312 0.688 0.750 Pd
0.688 0.312 0.250 Pd